Crystalline Ac2Sb3Pd9 at its relaxed geometry. Source: Alexandria, functional PBE.

Summary:
Raw formation energy in meV per atom: -713
M_tot in μB/cell: 0.00
D(E_F) in states/eV per cell: 27.8
ρ in g/cm3: 10.471

Lattice parameters (Å, degrees): 14.2478 8.1410 10.8232 90.00 116.11 90.00
Last column: nearest neighbours and their distance in Å.
Space group C2/c (No. 15)
Inequivalent atoms, fractional coordinates:
Ac 0.1716 0.0875 0.2485 [8 per cell]  10 Pd 3.10-3.45
Sb 0.0830 0.2407 0.4988 [8 per cell]  8 Pd 2.66-2.85
Sb 0.2500 0.2500 0.0000 [4 per cell]  8 Pd 2.70-2.86
Pd 0.0000 0.3768 0.2500 [4 per cell]  2 Sb 2.66, 2 Pd 2.83
Pd 0.0565 0.0801 0.9188 [8 per cell]  3 Sb 2.72-2.86, 3 Pd 2.93-2.98
Pd 0.0934 0.4168 0.0258 [8 per cell]  3 Sb 2.73-2.80, 3 Pd 2.81-2.93
Pd 0.1009 0.3254 0.7469 [8 per cell]  2 Sb 2.67-2.70, 5 Pd 2.83-2.98
Pd 0.2284 0.4135 0.4323 [8 per cell]  3 Sb 2.75-2.85, 5 Pd 2.89-3.08

Crystalline Pm16Sm6Er7 at its relaxed geometry. Source: Alexandria, functional PBE.

Summary:
M_tot in μB/cell: 0.00
Energy of formation in kJ per mole of atoms: 20
D(E_F) in states/eV per cell: 173.4
ρ in g/cm3: 7.177

Lattice parameters (Å, degrees): 15.9603 15.9603 15.9603 90.00 90.00 90.00
Last column: nearest neighbours and their distance in Å.
Space group Fm-3m (No. 225)
Inequivalent atoms, fractional coordinates:
Pm 0.1253 0.1253 0.1253 [32 per cell]  4 Er 3.45-3.46, 3 Pm 3.62, 3 Sm 3.66
Pm 0.1505 0.1505 0.3495 [32 per cell]  3 Er 3.29, 3 Sm 3.62, 3 Pm 3.62
Sm 0.0000 0.0000 0.2709 [24 per cell]  8 Pm 3.62-3.66, 4 Er 4.00
Er 0.0000 0.0000 0.0000 [4 per cell]  8 Pm 3.46
Er 0.0000 0.2500 0.2500 [24 per cell]  8 Pm 3.29-3.45

Crystalline Tl4InPb5 at its relaxed geometry. Source: Alexandria, functional PBE.

Summary:
M_tot in μB/cell: 0.00
Energy of formation in kJ per mole of atoms: 0
D(E_F) in states/eV per cell: 4.4
ρ in g/cm3: 10.589

Lattice parameters (Å, degrees): 3.4767 3.4767 25.5372 90.00 90.00 90.00
Last column: nearest neighbours and their distance in Å.
Space group P4/mmm (No. 123)
Inequivalent atoms, fractional coordinates:
Tl 0.0000 0.0000 0.1009 [2 per cell]  4 Tl 3.48, 8 Pb 3.56-3.57
Tl 0.0000 0.0000 0.3033 [2 per cell]  4 Tl 3.48, 8 Pb 3.56
In 0.0000 0.0000 0.5000 [1 per cell]  8 Pb 3.47, 4 In 3.48
Pb 0.5000 0.5000 0.0000 [1 per cell]  4 Pb 3.48, 8 Tl 3.56
Pb 0.5000 0.5000 0.2023 [2 per cell]  4 Pb 3.48, 8 Tl 3.56-3.57
Pb 0.5000 0.5000 0.4040 [2 per cell]  4 In 3.47, 4 Pb 3.48, 4 Tl 3.56

Crystalline NaPrGd at its relaxed geometry. Source: Alexandria, functional PBE.

Summary:
M_tot in μB/cell: 15.16
Energy of formation in kJ per mole of atoms: 12
D(E_F) in states/eV per cell: 6.6
ρ in g/cm3: 5.058
Energy above the most stable polymorph in this dataset in meV/atom: 15.6

Lattice parameters (Å, degrees): 3.5904 3.5904 16.3568 90.00 90.00 90.00
Last column: nearest neighbours and their distance in Å.
Space group I4mm (No. 107)
Inequivalent atoms, fractional coordinates:
Na 0.0000 0.0000 0.0000 [2 per cell]  4 Na 3.59, 4 Gd 3.81, 4 Pr 3.84
Pr 0.0000 0.0000 0.6759 [2 per cell]  4 Gd 3.54, 4 Pr 3.59, 4 Na 3.84
Gd 0.0000 0.0000 0.3266 [2 per cell]  4 Pr 3.54, 4 Gd 3.59, 4 Na 3.81

Crystalline LaSnPd3 at its relaxed geometry. Source: Alexandria, functional PBE.

Summary:
M_tot in μB/cell: 0.00
Energy of formation in kJ per mole of atoms: -54
D(E_F) in states/eV per cell: 3.3
ρ in g/cm3: 8.334
Energy above the most stable polymorph in this dataset in meV/atom: 119.5

Lattice parameters (Å, degrees): 5.5253 7.8146 5.3239 90.00 90.00 90.00
Last column: nearest neighbours and their distance in Å.
Space group Pbam (No. 55)
Inequivalent atoms, fractional coordinates:
La 0.0000 0.0000 0.0000 [2 per cell]  6 Pd 2.76-3.01
Sn 0.0000 0.5000 0.5000 [2 per cell]  6 Pd 2.60-2.71
Pd 0.0000 0.5000 0.0000 [2 per cell]  2 Sn 2.66, 2 La 2.76
Pd 0.0746 0.1719 0.5000 [4 per cell]  2 Sn 2.60-2.71, 1 Pd 2.81

Crystalline Tb3Pr2Ho at its relaxed geometry. Source: Alexandria, functional PBE.

Summary:
M_tot in μB/cell: 0.00
Energy of formation in kJ per mole of atoms: 8
D(E_F) in states/eV per cell: 37.0
ρ in g/cm3: 7.604
Energy above the most stable polymorph in this dataset in meV/atom: 0.0

Lattice parameters (Å, degrees): 16.8717 5.5872 8.5655 90.00 92.38 90.00
Last column: nearest neighbours and their distance in Å.
Space group C2/m (No. 12)
Inequivalent atoms, fractional coordinates:
Tb 0.0846 0.0000 0.3966 [4 per cell]  5 Tb 3.42-3.62, 4 Ho 3.60-3.71, 4 Pr 3.72-3.83
Tb 0.2215 0.5000 0.4132 [4 per cell]  7 Tb 3.29-3.62, 2 Pr 3.40-3.68, 1 Ho 3.50
Tb 0.2500 0.0000 0.1574 [4 per cell]  6 Pr 3.43-3.84, 4 Tb 3.53-3.69, 1 Ho 3.55
Pr 0.0961 0.5000 0.0924 [4 per cell]  2 Tb 3.40-3.43, 2 Ho 3.47-3.78, 3 Pr 3.55-3.56
Pr 0.1064 0.0000 0.8368 [4 per cell]  2 Ho 3.29, 2 Pr 3.56, 2 Tb 3.59-3.68
Ho 0.0585 0.5000 0.6537 [4 per cell]  1 Ho 3.23, 3 Pr 3.29-3.47, 4 Tb 3.50-3.60

Crystalline Tb6CeY2Ho3 at its relaxed geometry. Source: Alexandria, functional PBE.

Summary:
M_tot in μB/cell: 2.40
Energy of formation in kJ per mole of atoms: 4
D(E_F) in states/eV per cell: 38.8
ρ in g/cm3: 7.707

Lattice parameters (Å, degrees): 6.1548 10.6576 11.7825 90.00 100.03 90.00
Last column: nearest neighbours and their distance in Å.
Space group C2/m (No. 12)
Inequivalent atoms, fractional coordinates:
Tb 0.2471 0.0000 0.2487 [4 per cell]  6 Tb 3.53-3.57, 3 Ho 3.54-3.55, 1 Ce 3.56, 2 Y 3.57
Tb 0.2492 0.1654 0.7512 [8 per cell]  6 Tb 3.53-3.57, 3 Ho 3.54-3.55, 1 Ce 3.56, 2 Y 3.57
Ce 0.0000 0.0000 0.5000 [2 per cell]  6 Y 3.55, 6 Tb 3.56
Y 0.0000 0.3334 0.5000 [4 per cell]  3 Y 3.55, 3 Ce 3.55, 6 Tb 3.57
Ho 0.0000 0.1673 0.0000 [4 per cell]  6 Tb 3.54-3.55, 6 Ho 3.55-3.57
Ho 0.0000 0.5000 0.0000 [2 per cell]  6 Tb 3.54-3.55, 6 Ho 3.55-3.56

Crystalline Sc2Ir3Rh3 at its relaxed geometry. Source: Alexandria, functional PBE.

Summary:
M_tot in μB/cell: 0.00
Energy of formation in kJ per mole of atoms: -59
D(E_F) in states/eV per cell: 8.3
ρ in g/cm3: 13.251

Lattice parameters (Å, degrees): 3.9275 3.9858 7.8074 90.00 90.00 90.00
Last column: nearest neighbours and their distance in Å.
Space group Pmmm (No. 47)
Inequivalent atoms, fractional coordinates:
Sc 0.0000 0.0000 0.2490 [2 per cell]  6 Rh 2.76-2.78, 6 Ir 2.79-2.80
Ir 0.0000 0.5000 0.5000 [1 per cell]  4 Ir 2.76, 4 Sc 2.79, 4 Rh 2.80
Ir 0.5000 0.5000 0.2510 [2 per cell]  2 Ir 2.76, 6 Rh 2.77-2.80, 4 Sc 2.80
Rh 0.0000 0.5000 0.0000 [1 per cell]  4 Ir 2.77, 4 Sc 2.78, 4 Rh 2.80
Rh 0.5000 0.0000 0.0000 [1 per cell]  4 Sc 2.76, 4 Ir 2.80, 4 Rh 2.80
Rh 0.5000 0.0000 0.5000 [1 per cell]  4 Sc 2.77, 8 Ir 2.78-2.80

Crystalline CsAc2C2O7 at its relaxed geometry. Source: Alexandria, functional PBE.

Summary:
Raw formation energy in meV per atom: -2188
M_tot in μB/cell: 0.00
D(E_F) in states/eV per cell: 3.7
ρ in g/cm3: 4.284

Lattice parameters (Å, degrees): 5.3367 5.3367 34.0861 90.00 90.00 120.00
Last column: nearest neighbours and their distance in Å.
Space group R-3m (No. 166, hexagonal axes)
Inequivalent atoms, fractional coordinates:
Cs 0.0000 0.0000 0.0000 [3 per cell]  6 O 3.49
Ac 0.0000 0.0000 0.4352 [6 per cell]  1 O 2.21
C 0.0000 0.0000 0.2454 [6 per cell]  3 O 1.30
O 0.0000 0.0000 0.5000 [3 per cell]  2 Ac 2.21
O 0.0519 0.5259 0.4215 [18 per cell]  1 C 1.30

Crystalline CePu2V at its relaxed geometry. Source: Alexandria, functional PBE.

Summary:
M_tot in μB/cell: 8.84
Energy of formation in kJ per mole of atoms: 26
D(E_F) in states/eV per cell: 12.1
ρ in g/cm3: 13.276

Lattice parameters (Å, degrees): 3.3847 3.3847 7.4137 90.00 90.00 90.00
Last column: nearest neighbours and their distance in Å.
Space group P4/mmm (No. 123)
Inequivalent atoms, fractional coordinates:
Ce 0.0000 0.0000 0.0000 [1 per cell]  8 Pu 3.16, 4 Ce 3.38
Pu 0.5000 0.5000 0.2789 [2 per cell]  4 V 2.90, 4 Ce 3.16
V 0.0000 0.0000 0.5000 [1 per cell]  8 Pu 2.90

Crystalline Tl2Ag4Br9 at its relaxed geometry. Source: Alexandria, functional PBE.

Summary:
Raw formation energy in meV per atom: -393
M_tot in μB/cell: 0.00
D(E_F) in states/eV per cell: 8.7
ρ in g/cm3: 5.745

Lattice parameters (Å, degrees): 7.2228 7.2229 19.9490 89.97 89.99 60.02
Last column: nearest neighbours and their distance in Å.
Space group P-1 (No. 2)
Inequivalent atoms, fractional coordinates:
Tl 0.9996 0.9996 0.1493 [2 per cell]  6 Br 2.91-3.12
Tl 0.9997 0.9998 0.3484 [2 per cell]  6 Br 2.86-2.98
Ag 0.3329 0.3334 0.1779 [2 per cell]  6 Br 2.86-2.94
Ag 0.3334 0.3330 0.4853 [2 per cell]  6 Br 2.82-2.94
Ag 0.3338 0.3330 0.9897 [2 per cell]  6 Br 2.82-2.89
Ag 0.3335 0.3339 0.6778 [2 per cell]  6 Br 2.83-2.98
Br 0.0061 0.3170 0.2544 [2 per cell]  2 Ag 2.83-2.86, 2 Tl 2.98-3.12
Br 0.0183 0.6344 0.0817 [2 per cell]  3 Ag 2.82-2.94, 1 Tl 2.91
Br 0.0228 0.3317 0.5802 [2 per cell]  3 Ag 2.82-2.98, 1 Tl 2.86
Br 0.3166 0.6761 0.2546 [2 per cell]  2 Ag 2.83-2.86, 2 Tl 2.98-3.12
Br 0.3243 0.9936 0.7454 [2 per cell]  2 Ag 2.83-2.86, 2 Tl 2.98-3.12
Br 0.3314 0.6459 0.5802 [2 per cell]  3 Ag 2.82-2.97, 1 Tl 2.86
Br 0.3465 0.0183 0.0819 [2 per cell]  3 Ag 2.82-2.94, 1 Tl 2.91
Br 0.3543 0.9767 0.4197 [2 per cell]  3 Ag 2.82-2.97, 1 Tl 2.86
Br 0.3656 0.6530 0.9181 [2 per cell]  3 Ag 2.82-2.94, 1 Tl 2.91

Crystalline SmMg2Al at its relaxed geometry. Source: Alexandria, functional PBE.

Summary:
M_tot in μB/cell: 0.00
Energy of formation in kJ per mole of atoms: -17
D(E_F) in states/eV per cell: 10.9
ρ in g/cm3: 3.852
Energy above the most stable polymorph in this dataset in meV/atom: 31.3

Lattice parameters (Å, degrees): 3.6303 22.0243 4.8735 90.00 90.00 90.00
Last column: nearest neighbours and their distance in Å.
Space group Cmcm (No. 63)
Inequivalent atoms, fractional coordinates:
Sm 0.0000 0.1078 0.2500 [4 per cell]  4 Al 3.24, 8 Mg 3.39-3.59, 2 Sm 3.63
Mg 0.0000 0.2621 0.7500 [4 per cell]  4 Al 2.90-2.99, 4 Mg 3.09
Mg 0.0000 0.4674 0.2500 [4 per cell]  1 Al 2.79, 2 Mg 2.83
Al 0.0000 0.3407 0.2500 [4 per cell]  5 Mg 2.79-2.99

Crystalline NiRhPb at its relaxed geometry. Source: Alexandria, functional PBE.

Summary:
M_tot in μB/cell: 0.00
Energy of formation in kJ per mole of atoms: 21
D(E_F) in states/eV per cell: 6.7
ρ in g/cm3: 12.444

Lattice parameters (Å, degrees): 3.1280 3.7709 8.3446 90.00 90.00 90.00
Last column: nearest neighbours and their distance in Å.
Space group Imm2 (No. 44)
Inequivalent atoms, fractional coordinates:
Ni 0.0000 0.0000 0.0000 [2 per cell]  5 Pb 2.76-2.83, 5 Rh 2.79-2.84
Rh 0.0000 0.0000 0.3399 [2 per cell]  5 Pb 2.75-2.83, 5 Ni 2.79-2.84
Pb 0.0000 0.0000 0.6689 [2 per cell]  5 Rh 2.75-2.83, 5 Ni 2.76-2.83

Crystalline K2LaBe at its relaxed geometry. Source: Alexandria, functional PBE.

Summary:
M_tot in μB/cell: 0.02
Energy of formation in kJ per mole of atoms: 80
D(E_F) in states/eV per cell: 22.1
ρ in g/cm3: 2.746

Lattice parameters (Å, degrees): 8.1779 8.1779 8.1779 90.00 90.00 90.00
Last column: nearest neighbours and their distance in Å.
Space group F-43m (No. 216)
Inequivalent atoms, fractional coordinates:
K 0.0000 0.0000 0.0000 [4 per cell]  4 La 3.54, 4 K 3.54
K 0.2500 0.2500 0.2500 [4 per cell]  4 K 3.54, 4 Be 3.54
La 0.2500 0.2500 0.7500 [4 per cell]  4 K 3.54, 4 Be 3.54
Be 0.0000 0.0000 0.5000 [4 per cell]  4 La 3.54, 4 K 3.54

Crystalline Sr2SeF at its relaxed geometry. Source: Alexandria, functional PBE.

Summary:
Raw formation energy in meV per atom: -2134
M_tot in μB/cell: 2.93
D(E_F) in states/eV per cell: 9.2
ρ in g/cm3: 3.436
Energy above the most stable polymorph in this dataset in meV/atom: 199.7

Lattice parameters (Å, degrees): 6.4442 6.4442 12.7167 90.00 90.00 90.00
Last column: nearest neighbours and their distance in Å.
Space group I-42d (No. 122)
Inequivalent atoms, fractional coordinates:
Sr 0.2001 0.2500 0.1250 [8 per cell]  2 F 2.60
Se 0.0000 0.0000 0.5000 [4 per cell]  4 Sr 2.98
F 0.0000 0.0000 0.0000 [4 per cell]  4 Sr 2.60

Crystalline CaPm7Nd12 at its relaxed geometry. Source: Alexandria, functional PBE.

Summary:
M_tot in μB/cell: 0.00
Energy of formation in kJ per mole of atoms: 55
D(E_F) in states/eV per cell: 48.0
ρ in g/cm3: 5.791

Lattice parameters (Å, degrees): 11.6907 11.6907 11.6907 90.00 90.00 90.00
Last column: nearest neighbours and their distance in Å.
Space group Im-3 (No. 204)
Inequivalent atoms, fractional coordinates:
Ca 0.0000 0.0000 0.0000 [2 per cell]  12 Nd 4.21
Pm 0.0000 0.0000 0.5000 [6 per cell]  12 Nd 4.06-4.14
Pm 0.2500 0.2500 0.2500 [8 per cell]  6 Nd 2.92
Nd 0.0000 0.2550 0.2539 [24 per cell]  2 Pm 2.92

Crystalline YHo6Ni2 at its relaxed geometry. Source: Alexandria, functional PBE.

Summary:
M_tot in μB/cell: 0.00
Energy of formation in kJ per mole of atoms: -12
D(E_F) in states/eV per cell: 52.5
ρ in g/cm3: 8.435

Lattice parameters (Å, degrees): 9.0572 10.1168 10.2769 90.00 90.00 90.00
Last column: nearest neighbours and their distance in Å.
Space group Immm (No. 71)
Inequivalent atoms, fractional coordinates:
Y 0.0000 0.0000 0.0000 [2 per cell]  8 Ho 3.20-3.35
Y 0.0000 0.0000 0.5000 [2 per cell]  12 Ho 3.38-3.60
Ho 0.0000 0.2187 0.2254 [8 per cell]  1 Ni 2.74
Ho 0.1947 0.5000 0.1888 [8 per cell]  1 Ni 2.64
Ho 0.1975 0.3092 0.5000 [8 per cell]  3 Ni 2.90-3.25
Ni 0.0000 0.3638 0.0000 [4 per cell]  6 Ho 2.74-2.96, 1 Ni 2.76
Ni 0.0000 0.5000 0.3805 [4 per cell]  1 Ni 2.46, 2 Ho 2.64

Crystalline AgWSe2N at its relaxed geometry. Source: Alexandria, functional PBE.

Summary:
Raw formation energy in meV per atom: 817
M_tot in μB/cell: 0.68
D(E_F) in states/eV per cell: 3.9
ρ in g/cm3: 8.533
Energy above the most stable polymorph in this dataset in meV/atom: 561.3

Lattice parameters (Å, degrees): 4.8352 4.8352 3.8591 90.00 90.00 90.00
Last column: nearest neighbours and their distance in Å.
Space group P4/mmm (No. 123)
Inequivalent atoms, fractional coordinates:
Ag 0.0000 0.0000 0.0000 [1 per cell]  8 Se 3.09, 4 W 3.42
W 0.5000 0.5000 0.0000 [1 per cell]  2 N 1.93
Se 0.0000 0.5000 0.5000 [2 per cell]  2 N 2.42
N 0.5000 0.5000 0.5000 [1 per cell]  2 W 1.93

Crystalline RbHoBi at its relaxed geometry. Source: Alexandria, functional PBE.

Summary:
M_tot in μB/cell: 1.40
Energy of formation in kJ per mole of atoms: -26
D(E_F) in states/eV per cell: 4.5
ρ in g/cm3: 5.684

Lattice parameters (Å, degrees): 4.3110 4.3110 14.4422 90.00 90.00 90.00
Last column: nearest neighbours and their distance in Å.
Space group I4mm (No. 107)
Inequivalent atoms, fractional coordinates:
Rb 0.0000 0.0000 0.0000 [2 per cell]  1 Ho 3.86, 1 Bi 4.03, 4 Rb 4.31
Ho 0.0000 0.0000 0.2670 [2 per cell]  4 Bi 3.12
Bi 0.0000 0.0000 0.7213 [2 per cell]  4 Ho 3.12

Crystalline Ti5Al2 at its relaxed geometry. Source: Alexandria, functional PBE.

Summary:
M_tot in μB/cell: 0.00
Energy of formation in kJ per mole of atoms: -25
D(E_F) in states/eV per cell: 15.5
ρ in g/cm3: 4.187

Lattice parameters (Å, degrees): 9.3583 3.8846 6.4421 90.00 96.65 90.00
Last column: nearest neighbours and their distance in Å.
Space group C2/m (No. 12)
Inequivalent atoms, fractional coordinates:
Ti 0.0000 0.0000 0.0000 [2 per cell]  4 Al 2.81, 8 Ti 2.89-2.92
Ti 0.1442 0.0000 0.4266 [4 per cell]  7 Ti 2.81-2.96, 5 Al 2.82-2.91
Ti 0.2176 0.5000 0.1420 [4 per cell]  8 Ti 2.78-2.93, 4 Al 2.85-2.96
Al 0.0716 0.5000 0.7133 [4 per cell]  11 Ti 2.81-2.96, 1 Al 2.91